Entry from Alexandria via LeMat-Bulk: a relaxed structure of ReMo2Os (PBE-GGA).

Values from the calculation:
Space group = Pmm2 (25)
Crystal system = orthorhombic
E_form = 15.18 kJ/mol of atoms
Volume = 15.32 Å³/atom
D(E_F) = 0.778 states/eV per atom
Magnetization = 0.00 μB/cell

a b c (Å): 2.769 3.946 5.609
angles (deg): 90.00 90.00 90.00
Fractional coordinates of all 4 atoms:
Mo1 0.000 0.000 0.995
Mo2 0.500 0.500 0.257
Os1 0.000 0.000 0.503
Re1 0.500 0.500 0.745



Entry from Alexandria via LeMat-Bulk: a relaxed structure of Sr2CuBS (PBE-GGA).

Values from the calculation:
Space group = P4/mmm (123)
Crystal system = tetragonal
E_form (uncorrected) = 39.2 kJ/mol of atoms
Volume = 27.96 Å³/atom
D(E_F) = 0.415 states/eV per atom
Energy relative to the lowest polymorph listed for this composition = 875 meV per atom
Magnetization = 1.84 μB/cell

a b c (Å): 5.778 4.188 5.778
angles (deg): 90.00 90.00 90.00
Fractional coordinates of all 5 atoms:
Sr1 0.000 0.000 0.500
Sr2 0.500 0.000 0.000
S1 0.000 0.500 0.000
B1 0.500 0.500 0.500
Cu1 0.000 0.000 0.000



Entry from Alexandria via LeMat-Bulk: a relaxed structure of CaCrIr2 (PBE-GGA).

Values from the calculation:
Space group = Immm (71)
Crystal system = orthorhombic
E_form = 22.79 kJ/mol of atoms
Volume = 16.53 Å³/atom
D(E_F) = 1.217 states/eV per atom
Energy relative to the lowest polymorph listed for this composition = 365 meV per atom
Magnetization = 2.68 μB/cell

a b c (Å): 5.467 5.467 5.467
angles (deg): 148.95 127.64 62.14
Fractional coordinates of all 4 atoms:
Cr1 0.250 0.750 0.500
Ca1 0.750 0.250 0.500
Ir1 0.027 0.027 0.000
Ir2 0.473 0.473 0.000



Entry from Alexandria via LeMat-Bulk: a relaxed structure of BaY (PBE-GGA).

Values from the calculation:
Space group = P-3m1 (164)
Crystal system = trigonal
E_form = 16.89 kJ/mol of atoms
Volume = 42.98 Å³/atom
D(E_F) = 1.488 states/eV per atom
Energy relative to the lowest polymorph listed for this composition = 16 meV per atom
Magnetization = 0.00 μB/cell

a b c (Å): 3.933 3.933 12.835
angles (deg): 90.00 90.00 120.00
Fractional coordinates of all 4 atoms:
Ba1 0.000 0.000 0.978
Ba2 0.667 0.333 0.272
Y1 0.000 0.000 0.522
Y2 0.667 0.333 0.728



Entry from Alexandria via LeMat-Bulk: a relaxed structure of Sm2TlIn4 (PBE-GGA).

Values from the calculation:
Space group = C2/m (12)
Crystal system = monoclinic
E_form = -28.68 kJ/mol of atoms
Volume = 28.72 Å³/atom
D(E_F) = 0.558 states/eV per atom
Magnetization = 0.00 μB/cell

a b c (Å): 6.458 6.458 6.644
angles (deg): 119.10 119.10 90.10
Fractional coordinates of all 7 atoms:
Tl1 0.786 0.786 0.572
Sm1 0.286 0.786 0.571
Sm2 0.786 0.286 0.571
In1 0.786 0.786 0.072
In2 0.286 0.286 0.071
In3 0.786 0.286 0.071
In4 0.286 0.786 0.071



Entry from Alexandria via LeMat-Bulk: a relaxed structure of Cs3KCo2Cl9 (PBE-GGA).

Values from the calculation:
Space group = P-3m1 (164)
Crystal system = trigonal
E_form (uncorrected) = -123.5 kJ/mol of atoms
Volume = 30.11 Å³/atom
D(E_F) = 0.992 states/eV per atom
Magnetization = 7.01 μB/cell

a b c (Å): 7.394 7.394 9.539
angles (deg): 90.00 90.00 120.00
Fractional coordinates of all 15 atoms:
Cs1 0.333 0.667 0.698
Cs2 0.000 0.000 0.000
Cs3 0.667 0.333 0.302
K1 0.000 0.000 0.500
Co1 0.333 0.667 0.164
Co2 0.667 0.333 0.836
Cl1 0.819 0.181 0.706
Cl2 0.819 0.639 0.706
Cl3 0.361 0.181 0.706
Cl4 0.639 0.819 0.294
Cl5 0.181 0.361 0.294
Cl6 0.181 0.819 0.294
Cl7 0.500 0.000 0.000
Cl8 0.000 0.500 0.000
Cl9 0.500 0.500 0.000



no.,energy (Ry per atom)
1,-0.82155
2,-0.23866
3,-0.52188
4,-0.29534
5,-0.26081
6,-0.26309